1.
# OsW2

Crystalline OsW2 at its relaxed geometry (PBE, Alexandria via LeMat-Bulk).

Computed properties:
ΔE to the lowest computed polymorph: 0.2028 eV per atom
formation energy from the elements: 0.205 eV per atom
crystal system: orthorhombic

Cell and atoms, written as extended XYZ:
```
6
Lattice="2.814 0.000 0.000 0.000 3.914 0.000 0.000 0.000 8.537" Properties=species:S:1:pos:R:3 pbc="T T T"
Os 0.000 0.000 0.000
Os 1.407 1.957 4.268
W 0.000 0.000 2.878
W 0.000 0.000 5.659
W 1.407 1.957 1.390
W 1.407 1.957 7.147
```

---

2.
# Pr3Er

Crystalline Pr3Er at its relaxed geometry (PBE, Alexandria via LeMat-Bulk).

Computed properties:
ΔE to the lowest computed polymorph: 0.0023 eV per atom
formation energy from the elements: 0.016 eV per atom
crystal system: tetragonal

Cell and atoms, written as extended XYZ:
```
8
Lattice="5.183 0.000 0.000 0.000 5.183 0.000 0.000 0.000 10.348" Properties=species:S:1:pos:R:3 pbc="T T T"
Pr 0.000 0.000 0.000
Pr 0.000 2.591 2.587
Pr 0.000 2.591 7.761
Pr 2.591 0.000 2.587
Pr 2.591 0.000 7.761
Pr 2.591 2.591 5.174
Er 0.000 0.000 5.174
Er 2.591 2.591 0.000
```

---

3.
# AcHo5

Crystalline AcHo5 at its relaxed geometry (PBE, Alexandria via LeMat-Bulk).

Computed properties:
ΔE to the lowest computed polymorph: 0.0703 eV per atom
formation energy from the elements: 0.116 eV per atom
crystal system: orthorhombic

Cell and atoms, written as extended XYZ:
```
12
Lattice="5.860 0.000 0.000 0.000 17.953 0.000 0.000 0.000 3.803" Properties=species:S:1:pos:R:3 pbc="T T T"
Ac 0.000 0.000 0.000
Ac 2.930 8.977 0.000
Ho 0.000 3.310 1.901
Ho 0.000 6.192 0.000
Ho 0.000 8.977 1.901
Ho 0.000 11.761 0.000
Ho 0.000 14.644 1.901
Ho 2.930 0.000 1.901
Ho 2.930 2.784 0.000
Ho 2.930 5.667 1.901
Ho 2.930 12.287 1.901
Ho 2.930 15.169 0.000
```

---

4.
# PuInPd4

Crystalline PuInPd4 at its relaxed geometry (PBE, Alexandria via LeMat-Bulk).

Computed properties:
ΔE to the lowest computed polymorph: 0.0674 eV per atom
formation energy from the elements: -0.424 eV per atom
crystal system: monoclinic

Cell and atoms, written as extended XYZ:
```
12
Lattice="9.702 0.000 0.000 0.000 3.086 0.000 -3.277 0.000 7.213" Properties=species:S:1:pos:R:3 pbc="T T T"
Pu 0.000 0.000 0.000
Pu 4.851 1.543 0.000
In -1.639 0.000 3.607
In 3.212 1.543 3.607
Pd 0.450 1.543 2.450
Pd -1.030 1.543 5.938
Pd 2.604 0.000 1.275
Pd 1.124 0.000 4.763
Pd 5.301 0.000 2.450
Pd 3.820 0.000 5.938
Pd 7.455 1.543 1.275
Pd 5.974 1.543 4.763
```

---

- What is the formation energy from the elements in the second record?
  0.016 eV per atom

---

Please write out number 2 again, unchanged.
# Pr3Er

Crystalline Pr3Er at its relaxed geometry (PBE, Alexandria via LeMat-Bulk).

Computed properties:
ΔE to the lowest computed polymorph: 0.0023 eV per atom
formation energy from the elements: 0.016 eV per atom
crystal system: tetragonal

Cell and atoms, written as extended XYZ:
```
8
Lattice="5.183 0.000 0.000 0.000 5.183 0.000 0.000 0.000 10.348" Properties=species:S:1:pos:R:3 pbc="T T T"
Pr 0.000 0.000 0.000
Pr 0.000 2.591 2.587
Pr 0.000 2.591 7.761
Pr 2.591 0.000 2.587
Pr 2.591 0.000 7.761
Pr 2.591 2.591 5.174
Er 0.000 0.000 5.174
Er 2.591 2.591 0.000
```

---

- Which formula does entry 3 have?
  AcHo5